This record from the Alexandria database describes a relaxed structure of ZnNi2F. The functional is GGA+U.

Calculated values
The total energy is -25.9 eV/cell.

a b c (Å): 5.845 5.845 5.845
angles (deg): 90.00 90.00 90.00
Space group Fm-3m (No. 225)
Asymmetric unit:
Zn: 0.000 0.000 0.000
Ni: 0.250 0.250 0.250
F: 0.000 0.000 0.500